(1)
VASP calculation (GGA-PBE) on a relaxed structure of K2ZnSb.

Geometry as POSCAR:
```
K2ZnSb
1.0
6.0785 -2.2551 0.0000
6.0785 2.2551 0.0000
-2.8000 0.0000 5.1729
K Zn Sb
2 1 1
Cartesian
0.0000 0.0000 0.0000
0.3589 0.0000 3.5935
8.7961 0.0000 1.2300
3.7688 0.0000 2.2077
```

For the energy relative to the elements, uncorrected, the calculation gives -0.94 eV per formula unit. The volume comes out at 142 Å³ per cell. The calculation puts the density at 3.107 g/cm3. The calculation puts the total energy at -8.5 eV per formula unit. As for the excess energy over the best structure of this formula in the dataset: 6 meV per atom.

(2)
VASP calculation (GGA-PBE) on a relaxed structure of BaHgPb2.

Geometry as POSCAR:
```
BaHgPb2
1.0
3.5448 -5.1464 0.0000
3.5448 5.1464 0.0000
0.0000 0.0000 3.6849
Ba Hg Pb
1 1 2
Cartesian
0.0000 0.0000 0.0000
3.5448 0.0000 0.0000
1.7724 2.5732 1.8425
1.7724 -2.5732 1.8425
```

The volume comes out at 134 Å³ per cell. Its energy of formation is -0.207 eV per atom. The calculation puts the density at 9.292 g/cm3. The calculation puts the total energy at -10.5 eV per formula unit. As for the excess energy over the best structure of this formula in the dataset: 173 meV per atom.